Material: Tl2InGa2
Method: DFT, SCAN
State: single point on PBEsol structure

## Properties
energy above the most stable polymorph in this dataset = 0.0 meV/atom
total energy = -42.058 eV/atom
magnetic moment = 0.000 μB/atom
energy relative to the elements = 9.8 kJ/mol of atoms

a b c (Å): 4.6166 7.2635 7.2635
angles (deg): 90.00 90.00 90.00
Element x y z (fractional)
Ga (0.0000, 0.6284, 0.1284)
In (0.0000, 0.0000, 0.0000)
Tl (0.5000, 0.8262, 0.3262)
Ga (0.0000, 0.3716, 0.8716)
Tl (0.5000, 0.3262, 0.1738)
Tl (0.5000, 0.6738, 0.8262)
Tl (0.5000, 0.1738, 0.6738)
In (0.0000, 0.5000, 0.5000)
Ga (0.0000, 0.8716, 0.6284)
Ga (0.0000, 0.1284, 0.3716)